# Mn2AuSe (PBEsol, optimized geometry)
# Uncorrected formation energy, eV per atom: 0.12
data_Mn2AuSe
_chemical_formula_sum 'Mn6 Au3 Se3'
_cell_length_a 3.4182
_cell_length_b 3.4182
_cell_length_c 20.2850
_cell_angle_alpha 90.00
_cell_angle_beta 90.00
_cell_angle_gamma 120.00
_space_group_name_H-M_alt 'R -3 m'
_space_group_IT_number 166
_space_group_name_Hall '-R 3 2"'
loop_
_atom_site_label
_atom_site_type_symbol
_atom_site_fract_x
_atom_site_fract_y
_atom_site_fract_z
_atom_site_occupancy
Mn1 Mn 0.0000 0.0000 0.2472 1
Au1 Au 0.0000 0.0000 0.0000 1
Se1 Se 0.0000 0.0000 0.5000 1

# Li3MnFe2B3O9 (PBEsol, optimized geometry)
# Uncorrected formation energy, eV per atom: -1.89
data_Li3MnFe2B3O9
_chemical_formula_sum 'Li3 Mn1 Fe2 B3 O9'
_cell_length_a 8.1213
_cell_length_b 3.0076
_cell_length_c 8.1465
_cell_angle_alpha 90.00
_cell_angle_beta 119.85
_cell_angle_gamma 90.00
_space_group_name_H-M_alt 'P 1 m 1'
_space_group_IT_number 6
loop_
_space_group_symop_operation_xyz
'x,y,z'
'x,-y,z'
loop_
_atom_site_label
_atom_site_type_symbol
_atom_site_fract_x
_atom_site_fract_y
_atom_site_fract_z
_atom_site_occupancy
Li1 Li 0.0000 0.0000 0.0000 1
Li2 Li 0.2723 0.0000 0.6873 1
Li3 Li 0.5889 0.0000 0.2760 1
Mn1 Mn 0.6474 0.5000 0.9791 1
Fe1 Fe 0.2939 0.5000 0.3528 1
Fe2 Fe 0.9225 0.5000 0.6284 1
B1 B 0.2868 0.5000 0.9892 1
B2 B 0.6193 0.0000 0.6509 1
B3 B 0.9579 0.0000 0.3237 1
O1 O 0.1544 0.0000 0.4126 1
O2 O 0.1741 0.5000 0.0727 1
O3 O 0.2029 0.5000 0.7935 1
O4 O 0.4828 0.5000 0.1012 1
O5 O 0.5013 0.0000 0.4560 1
O6 O 0.5409 0.0000 0.7681 1
O7 O 0.8154 0.0000 0.7287 1
O8 O 0.8514 0.0000 0.1285 1
O9 O 0.8681 0.0000 0.4309 1

# Sn3CCl (PBEsol, optimized geometry)
# Uncorrected formation energy, eV per atom: 0.74
data_Sn3CCl
_chemical_formula_sum 'Sn3 C1 Cl1'
_cell_length_a 4.8549
_cell_length_b 4.8549
_cell_length_c 4.8549
_cell_angle_alpha 90.00
_cell_angle_beta 90.00
_cell_angle_gamma 90.00
_space_group_name_H-M_alt 'P m -3 m'
_space_group_IT_number 221
_space_group_name_Hall '-P 4 2 3'
loop_
_atom_site_label
_atom_site_type_symbol
_atom_site_fract_x
_atom_site_fract_y
_atom_site_fract_z
_atom_site_occupancy
Sn1 Sn 0.0000 0.0000 0.5000 1
C1 C 0.0000 0.0000 0.0000 1
Cl1 Cl 0.5000 0.5000 0.5000 1

# CaTl2Cd (PBEsol, optimized geometry)
# Offset from the most stable computed form, kJ/mol of formula units: 1
# Formation enthalpy at 0 K, eV per atom: -0.268
data_CaTl2Cd
_chemical_formula_sum 'Ca4 Tl8 Cd4'
_cell_length_a 7.3836
_cell_length_b 7.3836
_cell_length_c 7.3836
_cell_angle_alpha 90.00
_cell_angle_beta 90.00
_cell_angle_gamma 90.00
_space_group_name_H-M_alt 'F m -3 m'
_space_group_IT_number 225
_space_group_name_Hall '-F 4 2 3'
loop_
_atom_site_label
_atom_site_type_symbol
_atom_site_fract_x
_atom_site_fract_y
_atom_site_fract_z
_atom_site_occupancy
Ca1 Ca 0.0000 0.0000 0.0000 1
Tl1 Tl 0.2500 0.2500 0.2500 1
Cd1 Cd 0.0000 0.0000 0.5000 1

# SrBeW2 (PBEsol, optimized geometry)
# Formation enthalpy at 0 K, eV per atom: 1.205
data_SrBeW2
_chemical_formula_sum 'Sr1 Be1 W2'
_cell_length_a 2.9437
_cell_length_b 4.7050
_cell_length_c 5.0960
_cell_angle_alpha 90.00
_cell_angle_beta 90.00
_cell_angle_gamma 90.00
_space_group_name_H-M_alt 'P m m m'
_space_group_IT_number 47
loop_
_space_group_symop_operation_xyz
'x,y,z'
'-x,-y,-z'
'-x,-y,z'
'x,y,-z'
'x,-y,-z'
'-x,y,z'
'-x,y,-z'
'x,-y,z'
loop_
_atom_site_label
_atom_site_type_symbol
_atom_site_fract_x
_atom_site_fract_y
_atom_site_fract_z
_atom_site_occupancy
Sr1 Sr 0.0000 0.0000 0.0000 1
Be1 Be 0.5000 0.5000 0.0000 1
W1 W 0.0000 0.5000 0.5000 1
W2 W 0.5000 0.0000 0.5000 1

# Li2PtW (PBEsol, optimized geometry)
# Offset from the most stable computed form, kJ/mol of formula units: 20
# Formation enthalpy at 0 K, eV per atom: 0.045
data_Li2PtW
_chemical_formula_sum 'Li4 Pt2 W2'
_cell_length_a 5.2813
_cell_length_b 9.4302
_cell_length_c 2.6511
_cell_angle_alpha 90.00
_cell_angle_beta 117.85
_cell_angle_gamma 90.00
_space_group_name_H-M_alt 'C 1 2/m 1'
_space_group_IT_number 12
loop_
_space_group_symop_operation_xyz
'x,y,z'
'-x,-y,-z'
'-x,y,-z'
'x,-y,z'
'x+1/2,y+1/2,z'
'-x+1/2,-y+1/2,-z'
'-x+1/2,y+1/2,-z'
'x+1/2,-y+1/2,z'
loop_
_atom_site_label
_atom_site_type_symbol
_atom_site_fract_x
_atom_site_fract_y
_atom_site_fract_z
_atom_site_occupancy
Li1 Li 0.2500 0.2500 0.0000 1
Pt1 Pt 0.0000 0.0000 0.5000 1
W1 W 0.0000 0.5000 0.5000 1

# Li4Nb2V3Cr3O16 (PBEsol, optimized geometry)
# Uncorrected formation energy, eV per atom: -2.24
data_Li4Nb2V3Cr3O16
_chemical_formula_sum 'Li8 Nb4 V6 Cr6 O32'
_cell_length_a 10.1637
_cell_length_b 5.8257
_cell_length_c 9.5465
_cell_angle_alpha 90.00
_cell_angle_beta 90.00
_cell_angle_gamma 90.00
_space_group_name_H-M_alt 'C 1 m 1'
_space_group_IT_number 8
loop_
_space_group_symop_operation_xyz
'x,y,z'
'x,-y,z'
'x+1/2,y+1/2,z'
'x+1/2,-y+1/2,z'
loop_
_atom_site_label
_atom_site_type_symbol
_atom_site_fract_x
_atom_site_fract_y
_atom_site_fract_z
_atom_site_occupancy
Li1 Li 0.0000 0.0000 0.0000 1
Li2 Li 0.9999 0.0000 0.4983 1
Li3 Li 0.1655 0.5000 0.9017 1
Li4 Li 0.3306 0.0000 0.4064 1
Nb1 Nb 0.1675 0.5000 0.4981 1
Nb2 Nb 0.3304 0.0000 0.9967 1
V1 V 0.0853 0.2652 0.2223 1
V2 V 0.1714 0.0000 0.7237 1
Cr1 Cr 0.3337 0.5000 0.2193 1
Cr2 Cr 0.4161 0.2456 0.7202 1
O1 O 0.0028 0.0000 0.8126 1
O2 O 0.0044 0.0000 0.3105 1
O3 O 0.0136 0.5000 0.3514 1
O4 O 0.0837 0.2472 0.6036 1
O5 O 0.1655 0.0000 0.1042 1
O6 O 0.1694 0.5000 0.1088 1
O7 O 0.2432 0.2804 0.3441 1
O8 O 0.2615 0.2273 0.8453 1
O9 O 0.3312 0.0000 0.6134 1
O10 O 0.3357 0.5000 0.6030 1
O11 O 0.4188 0.2491 0.1025 1
O12 O 0.4814 0.0000 0.8422 1

# LiVOF3 (PBEsol, optimized geometry)
# Offset from the most stable computed form, kJ/mol of formula units: 33
# Uncorrected formation energy, eV per atom: -2.77
data_LiVOF3
_chemical_formula_sum 'Li4 V4 O4 F12'
_cell_length_a 10.0014
_cell_length_b 5.4733
_cell_length_c 4.6022
_cell_angle_alpha 90.00
_cell_angle_beta 90.00
_cell_angle_gamma 90.00
_space_group_name_H-M_alt 'P n a 21'
_space_group_IT_number 33
loop_
_space_group_symop_operation_xyz
'x,y,z'
'-x,-y,z+1/2'
'-x+1/2,y+1/2,z+1/2'
'x+1/2,-y+1/2,z'
loop_
_atom_site_label
_atom_site_type_symbol
_atom_site_fract_x
_atom_site_fract_y
_atom_site_fract_z
_atom_site_occupancy
Li1 Li 0.0022 0.2422 0.0000 1
V1 V 0.2399 0.4202 0.5381 1
O1 O 0.1850 0.2098 0.7621 1
F1 F 0.0872 0.4683 0.3067 1
F2 F 0.0882 0.9685 0.2000 1
F3 F 0.1769 0.7098 0.7484 1

# La2AuCl (PBEsol, optimized geometry)
# Offset from the most stable computed form, kJ/mol of formula units: 11
# Uncorrected formation energy, eV per atom: -1.18
data_La2AuCl
_chemical_formula_sum 'La6 Au3 Cl3'
_cell_length_a 4.3343
_cell_length_b 4.3343
_cell_length_c 19.8894
_cell_angle_alpha 90.00
_cell_angle_beta 90.00
_cell_angle_gamma 120.00
_space_group_name_H-M_alt 'R -3 m'
_space_group_IT_number 166
_space_group_name_Hall '-R 3 2"'
loop_
_atom_site_label
_atom_site_type_symbol
_atom_site_fract_x
_atom_site_fract_y
_atom_site_fract_z
_atom_site_occupancy
La1 La 0.0000 0.0000 0.2472 1
Au1 Au 0.0000 0.0000 0.0000 1
Cl1 Cl 0.0000 0.0000 0.5000 1

# K2MgNi (PBEsol, optimized geometry)
# Formation enthalpy at 0 K, eV per atom: 0.483
data_K2MgNi
_chemical_formula_sum 'K4 Mg2 Ni2'
_cell_length_a 4.2847
_cell_length_b 5.7882
_cell_length_c 10.2353
_cell_angle_alpha 90.00
_cell_angle_beta 90.00
_cell_angle_gamma 90.00
_space_group_name_H-M_alt 'I m m 2'
_space_group_IT_number 44
loop_
_space_group_symop_operation_xyz
'x,y,z'
'-x,-y,z'
'-x,y,z'
'x,-y,z'
'x+1/2,y+1/2,z+1/2'
'-x+1/2,-y+1/2,z+1/2'
'-x+1/2,y+1/2,z+1/2'
'x+1/2,-y+1/2,z+1/2'
loop_
_atom_site_label
_atom_site_type_symbol
_atom_site_fract_x
_atom_site_fract_y
_atom_site_fract_z
_atom_site_occupancy
K1 K 0.0000 0.0000 0.0000 1
K2 K 0.0000 0.5000 0.1937 1
Mg1 Mg 0.0000 0.5000 0.7984 1
Ni1 Ni 0.0000 0.0000 0.4174 1

# ZrCo2Se (PBEsol, optimized geometry)
# Uncorrected formation energy, eV per atom: -0.22
data_ZrCo2Se
_chemical_formula_sum 'Zr2 Co4 Se2'
_cell_length_a 3.3417
_cell_length_b 4.2130
_cell_length_c 7.8817
_cell_angle_alpha 90.00
_cell_angle_beta 90.00
_cell_angle_gamma 90.00
_space_group_name_H-M_alt 'I m m m'
_space_group_IT_number 71
_space_group_name_Hall '-I 2 2'
loop_
_atom_site_label
_atom_site_type_symbol
_atom_site_fract_x
_atom_site_fract_y
_atom_site_fract_z
_atom_site_occupancy
Zr1 Zr 0.0000 0.0000 0.0000 1
Co1 Co 0.0000 0.5000 0.2314 1
Se1 Se 0.0000 0.0000 0.5000 1

# TaNi2AuI (PBEsol, optimized geometry)
# Uncorrected formation energy, eV per atom: 1.30
data_TaNi2AuI
_chemical_formula_sum 'Ta1 Ni2 Au1 I1'
_cell_length_a 4.6122
_cell_length_b 4.6122
_cell_length_c 5.1041
_cell_angle_alpha 90.00
_cell_angle_beta 90.00
_cell_angle_gamma 90.00
_space_group_name_H-M_alt 'P 4/m m m'
_space_group_IT_number 123
_space_group_name_Hall '-P 4 2'
loop_
_atom_site_label
_atom_site_type_symbol
_atom_site_fract_x
_atom_site_fract_y
_atom_site_fract_z
_atom_site_occupancy
Ta1 Ta 0.0000 0.0000 0.0000 1
Ni1 Ni 0.0000 0.5000 0.0000 1
Au1 Au 0.0000 0.0000 0.5000 1
I1 I 0.5000 0.5000 0.5000 1

no.,theoretical density (Mg/m³)
1,9.36
2,3.50
3,5.86
4,9.26
5,10.92
6,11.17
7,4.57
8,3.45
9,7.85
10,2.11
11,8.62
12,9.52